Below is a geometry-optimized FeOs3F structure, with properties calculated at the PBE with a Hubbard U level.

It has space group Pm-3m (No. 221), with a = 4.513 Å, b = 4.513 Å, c = 4.513 Å, α = 90.00°, β = 90.00° and γ = 90.00°. The asymmetric unit holds Fe at (0.000, 0.000, 0.000), Os at (0.000, 0.000, 0.500) and F at (0.500, 0.500, 0.500).

The calculation puts the total magnetization at 6.40 μB per formula unit. As for the energy relative to the lowest polymorph listed for this composition: 722 meV per atom. For the density of states at the Fermi level, the calculation gives 1.039 states/eV per atom.